(P)
# Co3AgHg

A relaxed Co3AgHg crystal (PBE, Alexandria).

Values from the calculation:
Space-group type = Pm-3m (221)
Crystal system = cubic
Calculated density = 7.8 g/cm3

Cell lengths 4.683, 4.683, 4.683 Å; angles 90.00, 90.00, 90.00 degrees
Site moments in Bohr magnetons follow the coordinates.
Element x y z (fractional)
Co: 0.000 0.500 0.000  1.88
Co: 0.000 0.000 0.500  2.48
Co: 0.500 0.000 0.000  1.63
Hg: 0.500 0.500 0.500  0.00
Ag: 0.000 0.000 0.000  0.03

(Q)
# Co3AgHg

A relaxed Co3AgHg crystal (PBE, Alexandria).

Values from the calculation:
Space-group type = Pm-3m (221)
Crystal system = cubic
Calculated density = 7.4 g/cm3

Cell lengths 4.770, 4.770, 4.770 Å; angles 90.00, 90.00, 90.00 degrees
Site moments in Bohr magnetons follow the coordinates.
Element x y z (fractional)
Co: 0.000 0.500 0.000  1.90
Co: 0.000 0.000 0.500  2.07
Co: 0.500 0.000 0.000  1.69
Hg: 0.000 0.000 0.000  -0.06
Ag: 0.500 0.500 0.500  -0.02

Name the most stable of them. (P).

(P)
# Ho4CoAg

A relaxed Ho4CoAg crystal (PBE, Alexandria).

Values from the calculation:
Space-group type = F-43m (216)
Crystal system = cubic
Calculated density = 9.5 g/cm3

Cell lengths 9.352, 9.352, 9.352 Å; angles 60.00, 60.00, 60.00 degrees
Element x y z (fractional)
Ho: 0.402 0.402 0.402
Ho: 0.794 0.402 0.402
Ho: 0.402 0.794 0.402
Ho: 0.402 0.402 0.794
Ho: 0.562 0.562 0.938
Ho: 0.938 0.938 0.562
Ho: 0.562 0.938 0.562
Ho: 0.938 0.562 0.938
Ho: 0.938 0.562 0.562
Ho: 0.562 0.938 0.938
Ho: 0.188 0.188 0.812
Ho: 0.812 0.812 0.188
Ho: 0.188 0.812 0.188
Ho: 0.812 0.188 0.812
Ho: 0.812 0.188 0.188
Ho: 0.188 0.812 0.812
Co: 0.609 0.609 0.609
Co: 0.174 0.609 0.609
Co: 0.609 0.174 0.609
Co: 0.609 0.609 0.174
Ag: 0.169 0.169 0.169
Ag: 0.494 0.169 0.169
Ag: 0.169 0.494 0.169
Ag: 0.169 0.169 0.494

(Q)
# Ho4CoAg

A relaxed Ho4CoAg crystal (PBE, Alexandria).

Values from the calculation:
Space-group type = I4_1md (109)
Crystal system = tetragonal
Calculated density = 7.7 g/cm3

Cell lengths 7.742, 7.742, 7.742 Å; angles 106.71, 106.71, 115.15 degrees
Element x y z (fractional)
Ho: 0.277 0.968 0.691
Ho: 0.724 0.432 0.708
Ho: 0.718 0.527 0.191
Ho: 0.182 0.974 0.208
Ho: 0.336 0.527 0.809
Ho: 0.766 0.974 0.792
Ho: 0.724 0.016 0.292
Ho: 0.277 0.586 0.309
Co: 0.754 0.754 0.000
Co: 0.504 0.004 0.500
Ag: 0.244 0.244 0.000
Ag: 0.994 0.494 0.500

Name the most stable of them. (P).

(P)
# HoTmCoAg

A relaxed HoTmCoAg crystal (PBE, Alexandria).

Values from the calculation:
Space-group type = F-43m (216)
Crystal system = cubic
Calculated density = 10.0 g/cm3

Cell lengths 4.894, 4.894, 4.894 Å; angles 60.00, 60.00, 60.00 degrees
Site moments in Bohr magnetons follow the coordinates.
Element x y z (fractional)
Tm: 0.500 0.500 0.500  -0.11
Co: 0.750 0.750 0.750  0.63
Ho: 0.000 0.000 0.000  -0.10
Ag: 0.250 0.250 0.250  0.00

(Q)
# HoTmCoAg

A relaxed HoTmCoAg crystal (PBE, Alexandria).

Values from the calculation:
Space-group type = P4mm (99)
Crystal system = tetragonal
Calculated density = 10.0 g/cm3

Cell lengths 3.337, 3.337, 7.472 Å; angles 90.00, 90.00, 90.00 degrees
Site moments in Bohr magnetons follow the coordinates.
Element x y z (fractional)
Ho: 0.500 0.500 0.789  -0.08
Tm: 0.500 0.500 0.352  -0.09
Co: 0.000 0.000 0.568  0.79
Ag: 0.000 0.000 0.075  0.01

Name the most stable of them. (Q).